Entry from Alexandria via LeMat-Bulk: a geometry-optimized SmPu2RhN4 structure (GGA-PBE).

The structure in POSCAR format:
```
SmPu2RhN4
1.0
-0.712 -2.861 1.718
4.550 -1.300 -3.669
7.604 3.110 8.328
Sm Pu Rh N
2 4 2 8
direct
0.111 0.221 0.750
0.889 0.779 0.250
0.371 0.741 0.555
0.629 0.259 0.055
0.629 0.259 0.445
0.371 0.741 0.945
0.849 0.698 0.750
0.151 0.302 0.250
0.269 0.537 0.108
0.731 0.463 0.608
0.731 0.463 0.892
0.269 0.537 0.392
0.000 0.000 0.500
0.000 0.000 0.000
0.456 0.912 0.750
0.544 0.088 0.250
```

- Volume: 229 Å³/cell
- Magnetic moment: 14.032 μB/cell
- Raw formation energy: -922 meV per atom
- SG: No. 63


Entry from Alexandria via LeMat-Bulk: a geometry-optimized Tb2PuRhN4 structure (GGA-PBE).

The structure in POSCAR format:
```
Tb2PuRhN4
1.0
-2.777 -1.605 0.966
4.624 -3.372 1.883
0.143 5.832 10.094
Tb Pu Rh N
4 2 2 8
direct
0.371 0.741 0.549
0.629 0.259 0.049
0.629 0.259 0.451
0.371 0.741 0.951
0.117 0.234 0.750
0.883 0.766 0.250
0.855 0.711 0.750
0.145 0.289 0.250
0.280 0.559 0.133
0.720 0.441 0.633
0.720 0.441 0.867
0.280 0.559 0.367
0.000 0.000 0.500
0.000 0.000 0.000
0.468 0.936 0.750
0.532 0.064 0.250
```

- Volume: 226 Å³/cell
- Magnetic moment: 7.878 μB/cell
- Raw formation energy: -927 meV per atom
- SG: No. 63


Entry from Alexandria via LeMat-Bulk: a geometry-optimized Pu2ThRhN4 structure (GGA-PBE).

The structure in POSCAR format:
```
Pu2ThRhN4
1.0
-3.179 -0.874 -1.005
2.513 -4.991 2.303
-4.100 2.797 10.534
Pu Th Rh N
4 2 2 8
direct
0.371 0.742 0.555
0.629 0.258 0.055
0.629 0.258 0.445
0.371 0.742 0.945
0.112 0.225 0.750
0.888 0.775 0.250
0.851 0.703 0.750
0.149 0.297 0.250
0.277 0.554 0.115
0.723 0.446 0.615
0.723 0.446 0.885
0.277 0.554 0.385
0.000 0.000 0.500
0.000 0.000 0.000
0.460 0.921 0.750
0.540 0.079 0.250
```

- Volume: 233 Å³/cell
- Magnetic moment: 15.353 μB/cell
- Raw formation energy: -1001 meV per atom
- SG: No. 63


Entry from Alexandria via LeMat-Bulk: a geometry-optimized Tm2PuRhN4 structure (GGA-PBE).

The structure in POSCAR format:
```
Tm2PuRhN4
1.0
-1.238 -0.378 -3.046
-0.067 -5.409 2.496
-10.539 1.993 4.036
Tm Pu Rh N
4 2 2 8
direct
0.371 0.742 0.547
0.629 0.258 0.047
0.629 0.258 0.453
0.371 0.742 0.953
0.119 0.238 0.750
0.881 0.762 0.250
0.858 0.716 0.750
0.142 0.284 0.250
0.276 0.552 0.129
0.724 0.448 0.629
0.724 0.448 0.871
0.276 0.552 0.371
0.000 0.000 0.500
0.000 0.000 0.000
0.470 0.941 0.750
0.530 0.059 0.250
```

- Volume: 217 Å³/cell
- Magnetic moment: 7.901 μB/cell
- Raw formation energy: -1003 meV per atom
- SG: No. 63


Entry from Alexandria via LeMat-Bulk: a geometry-optimized TmPu2RhN4 structure (GGA-PBE).

The structure in POSCAR format:
```
TmPu2RhN4
1.0
3.336 0.000 0.000
-1.668 5.696 0.000
0.000 0.000 11.661
Tm Pu Rh N
2 4 2 8
direct
0.116 0.233 0.750
0.884 0.767 0.250
0.371 0.742 0.555
0.629 0.258 0.055
0.629 0.258 0.445
0.371 0.742 0.945
0.854 0.709 0.750
0.146 0.291 0.250
0.273 0.547 0.114
0.727 0.453 0.614
0.727 0.453 0.886
0.273 0.547 0.386
0.000 0.000 0.500
0.000 0.000 0.000
0.468 0.935 0.750
0.532 0.065 0.250
```

- Volume: 222 Å³/cell
- Magnetic moment: 14.417 μB/cell
- Raw formation energy: -906 meV per atom
- SG: No. 63


Entry from Alexandria via LeMat-Bulk: a geometry-optimized Pu2URhN4 structure (GGA-PBE).

The structure in POSCAR format:
```
Pu2URhN4
1.0
3.350 0.000 0.000
-1.675 5.724 0.000
0.000 0.000 11.568
Pu U Rh N
4 2 2 8
direct
0.371 0.743 0.556
0.629 0.257 0.056
0.629 0.257 0.444
0.371 0.743 0.944
0.115 0.230 0.750
0.885 0.770 0.250
0.847 0.694 0.750
0.153 0.306 0.250
0.287 0.575 0.122
0.713 0.425 0.622
0.713 0.425 0.878
0.287 0.575 0.378
0.000 0.000 0.500
0.000 0.000 0.000
0.482 0.963 0.750
0.518 0.037 0.250
```

- Volume: 222 Å³/cell
- Magnetic moment: 18.036 μB/cell
- Raw formation energy: -900 meV per atom
- SG: No. 63


Which value of volume does entry 6 give?
222 Å³/cell


volume of number 2 (Tb2PuRhN4)?
226 Å³/cell


Which of these has the highest volume?
Pu2ThRhN4


The lowest magnetic moment belongs to which entry?
Tb2PuRhN4